Computed, not measured: a relaxed structure of BaFe2O at the PBE+U level of DFT.

* SG: I4_1/amd, No. 141
* total magnetic moment: 6.8 μB per formula unit
* energy: -38.5 eV per cell

a = 6.5914 Å, b = 6.5914 Å, c = 6.5914 Å
α = 121.10°, β = 121.10°, γ = 88.11°
Element x y z (fractional)
Ba 0.3750 0.6250 0.7500
Ba 0.6250 0.3750 0.2500
Fe 0.0000 0.0000 0.0000
Fe 0.0000 0.0000 0.5000
Fe 0.0000 0.5000 0.0000
Fe 0.5000 0.0000 0.5000
O 0.1250 0.8750 0.2500
O 0.8750 0.1250 0.7500